[1]
# Tl2SbPb

Tl2SbPb at its PBEsol-relaxed geometry (SCAN, Alexandria via LeMat-Bulk).

abc: 6.211 6.211 6.211
angles: 135.87 135.87 64.19
Atoms (fractional coordinates):
1 Tl 0.250 0.750 0.500
2 Tl 0.750 0.250 0.500
3 Sb 0.000 0.000 0.000
4 Pb 0.500 0.500 0.000

Calculated values
* energy above the lowest structure with this stoichiometry: 18.9 meV per atom
* electronic total energy: -2.3672 Ha/atom
* magnetic moment: 0.00 Bohr magnetons per cell
* formation energy (no corrections): 0.02 eV per atom

[2]
# GaHg2WI

GaHg2WI at its PBEsol-relaxed geometry (SCAN, Alexandria via LeMat-Bulk).

abc: 4.975 4.975 5.804
angles: 90.00 90.00 90.00
Atoms (fractional coordinates):
1 Ga 0.000 0.000 0.000
2 Hg 0.000 0.500 0.000
3 Hg 0.500 0.000 0.000
4 W 0.500 0.500 0.500
5 I 0.000 0.000 0.500

Calculated values
* electronic total energy: -1.8551 Ha/atom
* magnetic moment: 5.17 Bohr magnetons per cell
* formation energy (no corrections): 1.34 eV per atom